Model i:
VASP calculation (PBE) on an optimized crystal structure of URuN.

Cell: 4.046 4.046 6.205 Å, 90.00 90.00 90.00°
Space group I4mm (No. 107)
One atom of each set of equivalent atoms:
U: 0.000 0.000 0.000 [2 per cell]
Ru: 0.000 0.000 0.364 [2 per cell]
N: 0.000 0.000 0.683 [2 per cell]



Model ii:
VASP calculation (PBE) on an optimized crystal structure of URuN.

Cell: 3.5777 3.5777 24.8591 Å, 90.00 90.00 120.00°
Space group R-3m (No. 166, hexagonal axes)
One atom of each set of equivalent atoms:
U: 0.0000 0.0000 0.1024 [6 per cell]
Ru: 0.0000 0.0000 0.3679 [6 per cell]
N: 0.0000 0.0000 0.1990 [6 per cell]



Model iii:
VASP calculation (PBE) on an optimized crystal structure of URuN.

Cell: 3.4916 3.4916 4.3713 Å, 90.00 90.00 120.00°
Space group P3m1 (No. 156)
One atom of each set of equivalent atoms:
U: 0.0000 0.0000 0.0000 [1 per cell]
Ru: 0.6667 0.3333 0.6214 [1 per cell]
N: 0.3333 0.6667 0.2118 [1 per cell]



Which one is most stable, and which one is least stable? model ii is the most stable of them, while model i is the least stable.



Model i:
VASP calculation (PBE) on an optimized crystal structure of VRuN2.

Cell: 5.263 5.263 5.263 Å, 90.00 90.00 90.00°
Space group Fm-3m (No. 225)
One atom of each set of equivalent atoms:
V: 0.000 0.000 0.000 [4 per cell]
Ru: 0.000 0.000 0.500 [4 per cell]
N: 0.250 0.250 0.250 [8 per cell]



Model ii:
VASP calculation (PBE) on an optimized crystal structure of VRuN2.

Cell: 4.490 4.490 9.057 Å, 90.00 90.00 90.00°
Space group I-42d (No. 122)
One atom of each set of equivalent atoms:
V: 0.000 0.000 0.000 [4 per cell]
Ru: 0.000 0.000 0.500 [4 per cell]
N: 0.227 0.250 0.125 [8 per cell]



Which one is most stable, and which one is least stable? model ii is the most stable of them, while model i is the least stable.



Model i:
VASP calculation (PBE) on an optimized crystal structure of V2RuN2.

Cell: 5.873 5.873 2.783 Å, 90.00 90.00 90.00°
Space group P4/mbm (No. 127)
One atom of each set of equivalent atoms:
V: 0.141 0.359 0.000 [4 per cell]
Ru: 0.000 0.000 0.500 [2 per cell]
N: 0.157 0.657 0.500 [4 per cell]



Model ii:
VASP calculation (PBE) on an optimized crystal structure of V2RuN2.

Cell: 3.948 3.948 7.782 Å, 90.00 90.00 90.00°
Space group I4/mmm (No. 139)
One atom of each set of equivalent atoms:
V: 0.000 0.500 0.250 [4 per cell]
Ru: 0.000 0.000 0.000 [2 per cell]
N: 0.000 0.000 0.260 [4 per cell]



Which one is most stable, and which one is least stable? model ii is the most stable of them, while model i is the least stable.



Model i:
VASP calculation (PBE) on an optimized crystal structure of Ru3WN.

Cell: 4.734 4.734 4.734 Å, 90.00 90.00 90.00°
Space group Pm-3m (No. 221)
One atom of each set of equivalent atoms:
Ru: 0.000 0.000 0.500 [3 per cell]
W: 0.000 0.000 0.000 [1 per cell]
N: 0.500 0.500 0.500 [1 per cell]



Model ii:
VASP calculation (PBE) on an optimized crystal structure of Ru3WN.

Cell: 4.029 4.029 4.029 Å, 90.00 90.00 90.00°
Space group Pm-3m (No. 221)
One atom of each set of equivalent atoms:
Ru: 0.000 0.000 0.500 [3 per cell]
W: 0.500 0.500 0.500 [1 per cell]
N: 0.000 0.000 0.000 [1 per cell]



Which one is most stable, and which one is least stable? model ii is the most stable of them, while model i is the least stable.



Model i:
VASP calculation (PBE) on an optimized crystal structure of RuWN2.

Cell: 2.8782 2.8782 19.5226 Å, 90.00 90.00 120.00°
Space group R-3m (No. 166, hexagonal axes)
One atom of each set of equivalent atoms:
Ru: 0.0000 0.0000 0.0000 [3 per cell]
W: 0.0000 0.0000 0.5000 [3 per cell]
N: 0.0000 0.0000 0.1019 [6 per cell]



Model ii:
VASP calculation (PBE) on an optimized crystal structure of RuWN2.

Cell: 4.205 4.205 10.879 Å, 90.00 90.00 90.00°
Space group I-42d (No. 122)
One atom of each set of equivalent atoms:
Ru: 0.000 0.000 0.000 [4 per cell]
W: 0.000 0.000 0.500 [4 per cell]
N: 0.234 0.250 0.625 [8 per cell]



Model iii:
VASP calculation (PBE) on an optimized crystal structure of RuWN2.

Cell: 5.415 5.415 5.415 Å, 90.00 90.00 90.00°
Space group Fm-3m (No. 225)
One atom of each set of equivalent atoms:
Ru: 0.000 0.000 0.000 [4 per cell]
W: 0.000 0.000 0.500 [4 per cell]
N: 0.250 0.250 0.250 [8 per cell]



Which one is most stable, and which one is least stable? model ii is the most stable of them, while model iii is the least stable.



Model i:
VASP calculation (PBE) on an optimized crystal structure of YRuN2.

Cell: 4.721 4.721 10.503 Å, 90.00 90.00 90.00°
Space group I-42d (No. 122)
One atom of each set of equivalent atoms:
Y: 0.000 0.000 0.000 [4 per cell]
Ru: 0.000 0.000 0.500 [4 per cell]
N: 0.188 0.250 0.625 [8 per cell]



Model ii:
VASP calculation (PBE) on an optimized crystal structure of YRuN2.

Cell: 5.680 5.680 5.680 Å, 90.00 90.00 90.00°
Space group Fm-3m (No. 225)
One atom of each set of equivalent atoms:
Y: 0.000 0.000 0.000 [4 per cell]
Ru: 0.000 0.000 0.500 [4 per cell]
N: 0.250 0.250 0.250 [8 per cell]



Which one is most stable, and which one is least stable? model i is the most stable of them, while model ii is the least stable.